Arrangement one

ZnCd2In | meta-GGA SCAN | single point on PBEsol structure

Summary:
For the density of states at the Fermi level, the calculation gives 0.240 states/eV/atom. Its crystal system is orthorhombic. The total moment comes out at 0.00 μB per atom.

a = 2.832 Å, b = 5.367 Å, c = 10.922 Å
α = 90.00°, β = 90.00°, γ = 90.00°
Space group Immm (No. 71)
One atom of each set of equivalent atoms:
Zn  0.000  0.000  0.000 x2
Cd  0.000  0.500  0.275 x4
In  0.000  0.000  0.500 x2

=====

Arrangement two

ZnCd2In | meta-GGA SCAN | single point on PBEsol structure

Summary:
For the density of states at the Fermi level, the calculation gives 0.296 states/eV/atom. Its crystal system is monoclinic. The total moment comes out at 0.00 μB per atom.

a = 5.620 Å, b = 10.960 Å, c = 3.062 Å
α = 90.00°, β = 118.14°, γ = 90.00°
Space group C2/m (No. 12)
One atom of each set of equivalent atoms:
Zn  0.000  0.000  0.000 x2
Cd  0.250  0.250  0.000 x4
In  0.000  0.500  0.000 x2

=====

Energy relative to the most stable one, in kJ/mol of atoms: arrangement one 0.0; arrangement two 1.7

=====

Arrangement one

ZnCd2In | meta-GGA SCAN | single point on PBEsol structure

Summary:
For the density of states at the Fermi level, the calculation gives 0.291 states/eV/atom. Its crystal system is cubic. The total moment comes out at 0.00 μB per atom.

a = 6.960 Å, b = 6.960 Å, c = 6.960 Å
α = 90.00°, β = 90.00°, γ = 90.00°
Space group Fm-3m (No. 225)
One atom of each set of equivalent atoms:
Zn  0.000  0.000  0.000 x4
Cd  0.250  0.250  0.250 x8
In  0.000  0.000  0.500 x4

=====

Arrangement two

ZnCd2In | meta-GGA SCAN | single point on PBEsol structure

Summary:
For the density of states at the Fermi level, the calculation gives 0.323 states/eV/atom. Its crystal system is tetragonal. The total moment comes out at 0.00 μB per atom.

a = 4.305 Å, b = 4.305 Å, c = 4.365 Å
α = 90.00°, β = 90.00°, γ = 90.00°
Space group P4/mmm (No. 123)
One atom of each set of equivalent atoms:
Zn  0.000  0.000  0.000 x1
Cd  0.000  0.500  0.500 x2
In  0.500  0.500  0.000 x1

=====

Energy relative to the most stable one, in kJ/mol of atoms: arrangement one 7.8; arrangement two 0.0

=====

Arrangement one

ZnCd2In | meta-GGA SCAN | single point on PBEsol structure

Summary:
For the density of states at the Fermi level, the calculation gives 0.256 states/eV/atom. Its crystal system is tetragonal. The total moment comes out at 0.00 μB per atom.

a = 4.315 Å, b = 4.315 Å, c = 8.695 Å
α = 90.00°, β = 90.00°, γ = 90.00°
Space group I4/mmm (No. 139)
One atom of each set of equivalent atoms:
Zn  0.000  0.000  0.000 x2
Cd  0.000  0.500  0.250 x4
In  0.000  0.000  0.500 x2

=====

Arrangement two

ZnCd2In | meta-GGA SCAN | single point on PBEsol structure

Summary:
For the density of states at the Fermi level, the calculation gives 0.360 states/eV/atom. Its crystal system is trigonal. The total moment comes out at 0.00 μB per atom.

a = 3.2254 Å, b = 3.2254 Å, c = 27.4107 Å
α = 90.00°, β = 90.00°, γ = 120.00°
Space group R-3m (No. 166, hexagonal axes)
One atom of each set of equivalent atoms:
Zn  0.0000  0.0000  0.0000 x3
Cd  0.0000  0.0000  0.2572 x6
In  0.0000  0.0000  0.5000 x3

=====

Arrangement three

ZnCd2In | meta-GGA SCAN | single point on PBEsol structure

Summary:
For the density of states at the Fermi level, the calculation gives 0.342 states/eV/atom. Its crystal system is orthorhombic. The total moment comes out at 0.00 μB per atom.

a = 3.015 Å, b = 3.155 Å, c = 8.538 Å
α = 90.00°, β = 90.00°, γ = 90.00°
Space group Pmm2 (No. 25)
One atom of each set of equivalent atoms:
Zn  0.000  0.000  0.000 x1
Cd  0.000  0.000  0.524 x1
Cd  0.500  0.500  0.781 x1
In  0.500  0.500  0.243 x1

=====

Energy relative to the most stable one, in kJ/mol of atoms: arrangement one 2.1; arrangement two 0.0; arrangement three 0.6

=====

Arrangement one

Zn2CdIn | meta-GGA SCAN | single point on PBEsol structure

Summary:
For the density of states at the Fermi level, the calculation gives 0.325 states/eV/atom. Its crystal system is monoclinic. The total moment comes out at 0.00 μB per atom.

a = 8.792 Å, b = 3.248 Å, c = 5.386 Å
α = 90.00°, β = 101.19°, γ = 90.00°
Space group Cm (No. 8)
One atom of each set of equivalent atoms:
Zn  0.000  0.000  0.000 x2
Zn  0.236  0.500  0.195 x2
Cd  0.485  0.000  0.436 x2
In  0.247  0.000  0.736 x2

=====

Arrangement two

Zn2CdIn | meta-GGA SCAN | single point on PBEsol structure

Summary:
For the density of states at the Fermi level, the calculation gives 0.255 states/eV/atom. Its crystal system is monoclinic. The total moment comes out at 0.00 μB per atom.

a = 3.687 Å, b = 4.193 Å, c = 5.264 Å
α = 90.00°, β = 110.08°, γ = 90.00°
Space group Pm (No. 6)
One atom of each set of equivalent atoms:
Zn  0.000  0.000  0.000 x1
Zn  0.145  0.500  0.293 x1
Cd  0.723  0.000  0.449 x1
In  0.419  0.500  0.839 x1

=====

Energy relative to the most stable one, in kJ/mol of atoms: arrangement one 2.0; arrangement two 0.0

=====

Arrangement one

Zn2CdIn | meta-GGA SCAN | single point on PBEsol structure

Summary:
For the density of states at the Fermi level, the calculation gives 0.238 states/eV/atom. Its crystal system is orthorhombic. The total moment comes out at 0.00 μB per atom.

a = 6.236 Å, b = 8.221 Å, c = 2.905 Å
α = 90.00°, β = 90.00°, γ = 90.00°
Space group Cmmm (No. 65)
One atom of each set of equivalent atoms:
Zn  0.250  0.250  0.000 x4
Cd  0.000  0.000  0.500 x2
In  0.000  0.500  0.500 x2

=====

Arrangement two

Zn2CdIn | meta-GGA SCAN | single point on PBEsol structure

Summary:
For the density of states at the Fermi level, the calculation gives 0.322 states/eV/atom. Its crystal system is tetragonal. The total moment comes out at 0.00 μB per atom.

a = 2.984 Å, b = 2.984 Å, c = 8.371 Å
α = 90.00°, β = 90.00°, γ = 90.00°
Space group P4mm (No. 99)
One atom of each set of equivalent atoms:
Zn  0.000  0.000  0.000 x1
Zn  0.500  0.500  0.194 x1
Cd  0.000  0.000  0.432 x1
In  0.500  0.500  0.732 x1

=====

Energy relative to the most stable one, in kJ/mol of atoms: arrangement one 3.4; arrangement two 0.0

=====

Arrangement one

ZnCdIn3 | meta-GGA SCAN | single point on PBEsol structure

Summary:
For the density of states at the Fermi level, the calculation gives 0.439 states/eV/atom. Its crystal system is cubic. The total moment comes out at 0.00 μB per atom.

a = 5.129 Å, b = 5.129 Å, c = 5.129 Å
α = 90.00°, β = 90.00°, γ = 90.00°
Space group Pm-3m (No. 221)
One atom of each set of equivalent atoms:
Zn  0.000  0.000  0.000 x1
Cd  0.500  0.500  0.500 x1
In  0.000  0.000  0.500 x3

=====

Arrangement two

ZnCdIn3 | meta-GGA SCAN | single point on PBEsol structure

Summary:
For the density of states at the Fermi level, the calculation gives 0.502 states/eV/atom. Its crystal system is cubic. The total moment comes out at 0.00 μB per atom.

a = 5.382 Å, b = 5.382 Å, c = 5.382 Å
α = 90.00°, β = 90.00°, γ = 90.00°
Space group Pm-3m (No. 221)
One atom of each set of equivalent atoms:
Zn  0.000  0.000  0.000 x1
Cd  0.500  0.500  0.500 x1
In  0.000  0.500  0.500 x3

=====

Energy relative to the most stable one, in kJ/mol of atoms: arrangement one 0.0; arrangement two 25.4

=====

Arrangement one

MnCd2Ir | meta-GGA SCAN | single point on PBEsol structure

Summary:
For the density of states at the Fermi level, the calculation gives 0.717 states/eV/atom. Its crystal system is tetragonal. The total moment comes out at 1.01 μB per atom.

a = 2.901 Å, b = 2.901 Å, c = 7.801 Å
α = 90.00°, β = 90.00°, γ = 90.00°
Space group P4/mmm (No. 123)
One atom of each set of equivalent atoms:
Mn  0.000  0.000  0.000 x1
Cd  0.500  0.500  0.254 x2
Ir  0.000  0.000  0.500 x1

=====

Arrangement two

MnCd2Ir | meta-GGA SCAN | single point on PBEsol structure

Summary:
For the density of states at the Fermi level, the calculation gives 0.373 states/eV/atom. Its crystal system is orthorhombic. The total moment comes out at 1.06 μB per atom.

a = 5.599 Å, b = 7.845 Å, c = 2.988 Å
α = 90.00°, β = 90.00°, γ = 90.00°
Space group Cmmm (No. 65)
One atom of each set of equivalent atoms:
Mn  0.000  0.000  0.000 x2
Cd  0.250  0.250  0.500 x4
Ir  0.000  0.500  0.000 x2

=====

Energy relative to the most stable one, in kJ/mol of atoms: arrangement one 8.1; arrangement two 0.0

=====

Arrangement one

Cd2IrOs | meta-GGA SCAN | single point on PBEsol structure

Summary:
For the density of states at the Fermi level, the calculation gives 0.575 states/eV/atom. Its crystal system is trigonal. The total moment comes out at 0.00 μB per atom.

a = 2.8127 Å, b = 2.8127 Å, c = 28.6810 Å
α = 90.00°, β = 90.00°, γ = 120.00°
Space group R3m (No. 160, hexagonal axes)
One atom of each set of equivalent atoms:
Cd  0.0000  0.0000  0.0000 x3
Cd  0.0000  0.0000  0.2388 x3
Ir  0.0000  0.0000  0.7501 x3
Os  0.0000  0.0000  0.4881 x3

=====

Arrangement two

Cd2IrOs | meta-GGA SCAN | single point on PBEsol structure

Summary:
For the density of states at the Fermi level, the calculation gives 0.739 states/eV/atom. Its crystal system is monoclinic. The total moment comes out at 0.00 μB per atom.

a = 5.556 Å, b = 9.493 Å, c = 2.759 Å
α = 90.00°, β = 117.10°, γ = 90.00°
Space group C2/m (No. 12)
One atom of each set of equivalent atoms:
Cd  0.250  0.250  0.000 x4
Ir  0.000  0.000  0.500 x2
Os  0.000  0.500  0.500 x2

=====

Energy relative to the most stable one, in kJ/mol of atoms: arrangement one 0.0; arrangement two 24.4